Entry from the Alexandria database: a geometry-optimized BaHg3 structure (GGA-PBEsol). Values from VASP.

Properties
* DFT formation energy: -0.403 eV per atom

```
&SYSTEM
  ibrav = 0, nat = 8, ntyp = 2
/
ATOMIC_SPECIES
Ba 137.33 Ba.upf
Hg 200.59 Hg.upf
ATOMIC_POSITIONS crystal
Ba 0.000 0.000 0.000
Ba 0.500 0.500 0.000
Hg 0.000 0.500 0.000
Hg 0.187 0.313 0.500
Hg 0.313 0.813 0.500
Hg 0.500 0.000 0.000
Hg 0.687 0.187 0.500
Hg 0.813 0.687 0.500
CELL_PARAMETERS angstrom
7.013 0.000 0.000
0.000 7.013 0.000
0.000 0.000 4.778
```



Entry from the Alexandria database: a geometry-optimized Ba4Hg5 structure (GGA-PBEsol). Values from VASP.

Properties
* DFT formation energy: -0.429 eV per atom

```
&SYSTEM
  ibrav = 0, nat = 18, ntyp = 2
/
ATOMIC_SPECIES
Ba 137.33 Ba.upf
Hg 200.59 Hg.upf
ATOMIC_POSITIONS crystal
Ba 0.000 0.000 0.000
Ba 0.000 0.000 0.500
Ba 0.000 0.378 0.250
Ba 0.000 0.622 0.750
Ba 0.378 0.000 0.250
Ba 0.378 0.378 0.750
Ba 0.622 0.000 0.750
Ba 0.622 0.622 0.250
Hg 0.000 0.290 0.750
Hg 0.000 0.710 0.250
Hg 0.290 0.000 0.750
Hg 0.290 0.290 0.250
Hg 0.333 0.667 0.000
Hg 0.333 0.667 0.500
Hg 0.667 0.333 0.000
Hg 0.667 0.333 0.500
Hg 0.710 0.000 0.250
Hg 0.710 0.710 0.750
CELL_PARAMETERS angstrom
10.358 0.000 0.000
-5.179 8.970 0.000
0.000 0.000 7.275
```